[1]
{
  "formula": "NaGeBi",
  "functional": "PBE",
  "state": "optimized geometry",
  "spacegroup": "P-6m2, No. 187",
  "dft_energy_ev_per_cell": -9.9,
  "vol_a3_per_atom": 26.9,
  "n_ef_per_ev_fu": 1.609,
  "lattice_angstrom": [[-0.491, -3.259, 0.991], [5.147, -0.659, 0.382], [-2.723, 1.660, 4.112]],
  "species": ["Ge", "Na", "Bi"],
  "frac_coords": [[0.167, 0.333, 0.667], [0.666, 0.667, 0.333], [0.167, 0.000, 0.000]]
}


[2]
{
  "formula": "TlP2Ru",
  "functional": "PBE",
  "state": "optimized geometry",
  "spacegroup": "R-3m, No. 166",
  "dft_energy_ev_per_cell": -22.2,
  "vol_a3_per_atom": 18.8,
  "n_ef_per_ev_fu": 2.272,
  "lattice_angstrom": [[-5.472, 0.169, -7.214], [-3.053, -1.408, -8.409], [-5.250, -2.918, -6.778]],
  "species": ["P", "Tl", "Ru", "P"],
  "frac_coords": [[0.978, 0.978, 0.978], [0.750, 0.750, 0.750], [0.250, 0.250, 0.250], [0.522, 0.522, 0.522]]
}


[3]
{
  "formula": "LiTaTcI2",
  "functional": "PBE",
  "state": "optimized geometry",
  "spacegroup": "P4/mmm, No. 123",
  "dft_energy_ev_per_cell": -23.0,
  "raw_formation_energy_ev_per_atom": 0.841,
  "vol_a3_per_atom": 30.8,
  "n_ef_per_ev_fu": 5.006,
  "lattice_angstrom": [[-1.663, -5.447, 0.189], [2.269, -0.834, -4.077], [4.718, -1.340, 2.900]],
  "species": ["I", "I", "Tc", "Ta", "Li"],
  "frac_coords": [[0.500, 0.000, 0.000], [0.000, 0.000, 0.500], [0.000, 0.000, 0.000], [0.000, 0.500, 0.000], [0.500, 0.500, 0.500]]
}


[4]
{
  "formula": "LiBiH",
  "functional": "PBE",
  "state": "optimized geometry",
  "spacegroup": "P2_1/c, No. 14",
  "dft_energy_ev_per_cell": -74.0,
  "vol_a3_per_atom": 18.0,
  "n_ef_per_ev_fu": 0.658,
  "lattice_angstrom": [[5.126, -0.454, 0.000], [-0.366, 6.581, 0.000], [0.000, 0.000, 12.842]],
  "species": ["H", "Li", "H", "H", "H", "Bi", "Bi", "Bi", "Bi", "H", "H", "Li", "H", "Bi", "Li", "Li", "Li", "Li", "Bi", "Li", "Bi", "Li", "Bi", "H"],
  "frac_coords": [[0.944, 0.388, 0.750], [0.941, 0.135, 0.841], [0.056, 0.112, 0.250], [0.944, 0.888, 0.750], [0.035, 0.206, 0.470], [0.559, 0.126, 0.234], [0.540, 0.736, 0.025], [0.540, 0.236, 0.475], [0.460, 0.264, 0.975], [0.965, 0.294, 0.970], [0.056, 0.612, 0.250], [0.941, 0.635, 0.659], [0.035, 0.706, 0.030], [0.441, 0.874, 0.766], [0.003, 0.447, 0.108], [0.997, 0.053, 0.608], [0.003, 0.947, 0.392], [0.059, 0.365, 0.341], [0.460, 0.764, 0.525], [0.997, 0.553, 0.892], [0.559, 0.626, 0.266], [0.059, 0.865, 0.159], [0.441, 0.374, 0.734], [0.965, 0.794, 0.530]]
}